[1]
# Sr3TcO6

Sr3TcO6 after structural relaxation (PBE-GGA, the Alexandria database).

Computed properties:
Total magnetic moment, Bohr magnetons per cell: 6.067
V, Å³/f.u.: 163
DOS(E_F), states/eV/atom: 0.5820
Raw total energy, eV/atom: -6.84

Cell and atoms, written as CIF:
```
data_Sr3TcO6
_cell_length_a 9.9036
_cell_length_b 9.9036
_cell_length_c 11.5053
_cell_angle_alpha 90.00
_cell_angle_beta 90.00
_cell_angle_gamma 120.00
_symmetry_space_group_name_H-M 'R -3'
_symmetry_Int_Tables_number 148
_symmetry_space_group_name_Hall '-R 3'
loop_
_atom_site_label
_atom_site_fract_x
_atom_site_fract_y
_atom_site_fract_z
Sr1 0.0412 0.7721 0.2035
Tc1 0.0000 0.0000 0.0000
Tc2 0.0000 0.0000 0.5000
O1 0.0264 0.8497 0.4063
O2 0.0263 0.8536 0.9012
```


[2]
# SmTmCdRu

SmTmCdRu after structural relaxation (PBE-GGA, the Alexandria database).

Computed properties:
Total magnetic moment, Bohr magnetons per cell: 0.000
V, Å³/f.u.: 91
DFT formation energy, eV/atom: -0.262
DOS(E_F), states/eV/atom: 0.8632
Energy above the lowest structure with this stoichiometry, eV per atom: 0.115

Cell and atoms, written as CIF:
```
data_SmTmCdRu
_cell_length_a 7.1445
_cell_length_b 7.1445
_cell_length_c 7.1445
_cell_angle_alpha 90.00
_cell_angle_beta 90.00
_cell_angle_gamma 90.00
_symmetry_space_group_name_H-M 'F -4 3 m'
_symmetry_Int_Tables_number 216
_symmetry_space_group_name_Hall 'F -4 2 3'
loop_
_atom_site_label
_atom_site_fract_x
_atom_site_fract_y
_atom_site_fract_z
Sm1 0.0000 0.0000 0.0000
Tm1 0.0000 0.0000 0.5000
Cd1 0.2500 0.2500 0.7500
Ru1 0.2500 0.2500 0.2500
```


[3]
# CsMg14Mo

CsMg14Mo after structural relaxation (PBE-GGA, the Alexandria database).

Computed properties:
Total magnetic moment, Bohr magnetons per cell: 4.631
V, Å³/f.u.: 386
DFT formation energy, eV/atom: 0.295
DOS(E_F), states/eV/atom: 0.4259
Energy above the lowest structure with this stoichiometry, eV per atom: 0.020

Cell and atoms, written as CIF:
```
data_CsMg14Mo
_cell_length_a 10.7341
_cell_length_b 6.4325
_cell_length_c 11.1753
_cell_angle_alpha 90.00
_cell_angle_beta 90.00
_cell_angle_gamma 90.00
_symmetry_space_group_name_H-M 'A m m 2'
_symmetry_Int_Tables_number 38
_symmetry_space_group_name_Hall 'A 2 -2'
loop_
_atom_site_label
_atom_site_fract_x
_atom_site_fract_y
_atom_site_fract_z
Cs1 0.0000 0.0000 0.0000
Mg1 0.0000 0.2418 0.7361
Mg2 0.2281 0.0000 0.6212
Mg3 0.2511 0.2384 0.3774
Mg4 0.2804 0.0000 0.1342
Mg5 0.5000 0.0000 0.4593
Mg6 0.5000 0.0000 0.9574
Mg7 0.5000 0.2403 0.7123
Mo1 0.0000 0.0000 0.4541
```